(1)
The following is a DFT calculation (PBE) of a relaxed CaLa3Hf crystal.

Values from the calculation:
The space group is Pm-3m (221). As for the formation energy: 2.1 eV/f.u. Its calculated density is 5.13 Mg/m³. For the volume, the calculation gives 205.8 Å³/cell. As for the excess energy over the best structure of this formula in the dataset: 0.0 meV/atom. The calculation puts the total moment at 0.0000 μB/atom.

Cell: 5.904 5.904 5.904 Å, 90.00 90.00 90.00°
Positions (direct):
La (0.000, 0.500, 0.000)
La (0.500, 0.000, 0.000)
La (0.000, 0.000, 0.500)
Ca (0.500, 0.500, 0.500)
Hf (0.000, 0.000, 0.000)

---

(2)
The following is a DFT calculation (PBE) of a relaxed Ca3LaHf crystal.

Values from the calculation:
The space group is Pm-3m (221). As for the formation energy: 6.5 eV/f.u. Its calculated density is 4.03 Mg/m³. For the volume, the calculation gives 180.3 Å³/cell. As for the excess energy over the best structure of this formula in the dataset: 498.6 meV/atom. The calculation puts the total moment at 0.0000 μB/atom.

Cell: 5.649 5.649 5.649 Å, 90.00 90.00 90.00°
Positions (direct):
Hf (0.500, 0.500, 0.500)
Ca (0.000, 0.500, 0.000)
Ca (0.000, 0.000, 0.500)
Ca (0.500, 0.000, 0.000)
La (0.000, 0.000, 0.000)

---

(3)
The following is a DFT calculation (PBE) of a relaxed CaLaHf2Mo crystal.

Values from the calculation:
The space group is P4/mmm (123). As for the formation energy: 2.6 eV/f.u. Its calculated density is 7.04 Mg/m³. For the volume, the calculation gives 149.0 Å³/cell. The calculation puts the total moment at 0.0000 μB/atom.

Cell: 5.233 5.440 5.233 Å, 90.00 90.00 90.00°
Positions (direct):
Hf (0.000, 0.000, 0.500)
Hf (0.500, 0.000, 0.000)
La (0.000, 0.500, 0.000)
Ca (0.500, 0.500, 0.500)
Mo (0.000, 0.000, 0.000)

---

(4)
The following is a DFT calculation (PBE) of a relaxed Ca2LaHfRe crystal.

Values from the calculation:
The space group is P4/mmm (123). As for the formation energy: 2.9 eV/f.u. Its calculated density is 6.03 Mg/m³. For the volume, the calculation gives 160.7 Å³/cell. The calculation puts the total moment at 0.0717 μB/atom.

Cell: 5.633 5.065 5.633 Å, 90.00 90.00 90.00°
Last column: magnetic moment on the atom in μB.
Positions (direct):
Re (0.000, 0.000, 0.000)  0.33
Hf (0.000, 0.500, 0.000)  0.00
Ca (0.000, 0.000, 0.500)  0.01
Ca (0.500, 0.000, 0.000)  0.01
La (0.500, 0.500, 0.500)  -0.01

---

(5)
The following is a DFT calculation (PBE) of a relaxed CaLaHfRh2 crystal.

Values from the calculation:
The space group is P4/mmm (123). As for the formation energy: 4.4 eV/f.u. Its calculated density is 7.69 Mg/m³. For the volume, the calculation gives 121.7 Å³/cell. The calculation puts the total moment at 0.0689 μB/atom.

Cell: 4.929 5.009 4.929 Å, 90.00 90.00 90.00°
Last column: magnetic moment on the atom in μB.
Positions (direct):
Ca (0.000, 0.000, 0.000)  0.05
Hf (0.000, 0.500, 0.000)  0.19
Rh (0.500, 0.000, 0.000)  0.00
Rh (0.000, 0.000, 0.500)  0.00
La (0.500, 0.500, 0.500)  0.03

---

(6)
The following is a DFT calculation (PBE) of a relaxed CaLaHf2S crystal.

Values from the calculation:
For the raw formation energy, the calculation gives -39 kJ/mol of atoms. The space group is P4/mmm (123). Its calculated density is 6.99 Mg/m³. For the volume, the calculation gives 135.0 Å³/cell. The calculation puts the total moment at 0.0000 μB/atom.

Cell: 4.918 5.584 4.918 Å, 90.00 90.00 90.00°
Positions (direct):
Hf (0.500, 0.000, 0.000)
Hf (0.000, 0.000, 0.500)
Ca (0.500, 0.500, 0.500)
S (0.000, 0.000, 0.000)
La (0.000, 0.500, 0.000)